LiCeGaPd3, relaxed, DFT PBE; space-group type = No. 63; theoretical density = 8.4 g cm⁻³; formation energy = -0.55 eV per atom; spin magnetization = 0.85 Bohr magnetons per cell
1.0
-1.788 4.650 3.167
-4.853 0.076 -2.852
-0.178 -3.986 5.752
Pd Ga Ce Li
6 2 2 2
Direct
0.250 0.174 0.349 Pd
0.750 0.826 0.651 Pd
0.500 0.247 0.000 Pd
0.500 0.753 0.000 Pd
0.000 0.247 0.000 Pd
0.000 0.753 0.000 Pd
0.750 0.625 0.250 Ga
0.250 0.375 0.750 Ga
0.250 0.673 0.346 Ce
0.750 0.327 0.654 Ce
0.250 0.890 0.780 Li
0.750 0.110 0.220 Li

LiCe2Ga6Pd, relaxed, DFT PBE; space-group type = No. 139; theoretical density = 6.6 g cm⁻³; formation energy = -0.30 eV per atom; spin magnetization = 2.05 Bohr magnetons per cell
1.0
6.603 0.000 0.000
0.001 6.604 0.000
3.302 3.302 4.661
Ga Li Ce Pd
6 1 2 1
Direct
0.262 0.738 0.000 Ga
0.738 0.738 0.524 Ga
0.738 0.738 0.000 Ga
0.262 0.262 0.000 Ga
0.262 0.262 0.476 Ga
0.738 0.262 0.000 Ga
0.500 0.500 0.000 Li
0.250 0.750 0.500 Ce
0.750 0.250 0.500 Ce
0.000 0.000 0.000 Pd

LiCePmGa, relaxed, DFT PBE; space-group type = No. 216; theoretical density = 6.1 g cm⁻³; formation energy = -0.20 eV per atom; spin magnetization = 0.76 Bohr magnetons per cell
1.0
-2.586 3.716 2.546
-5.161 0.351 -0.458
-3.054 -1.244 4.013
Ce Pm Ga Li
1 1 1 1
Direct
0.000 0.000 0.000 Ce
0.500 0.500 0.500 Pm
0.750 0.750 0.750 Ga
0.250 0.250 0.250 Li

LiCe2Ga3Pt4, relaxed, DFT PBE; space-group type = No. 115; theoretical density = 11.2 g cm⁻³; formation energy = -0.90 eV per atom; spin magnetization = 1.69 Bohr magnetons per cell
1.0
-2.233 2.847 -1.910
-1.681 -2.896 -2.351
-8.265 -1.378 7.609
Pt Ga Ce Li
4 3 2 1
Direct
0.500 0.500 0.000 Pt
0.500 0.000 0.646 Pt
0.000 0.500 0.354 Pt
0.000 0.000 0.000 Pt
0.000 0.500 0.132 Ga
0.000 0.000 0.500 Ga
0.500 0.000 0.868 Ga
0.000 0.500 0.746 Ce
0.500 0.000 0.254 Ce
0.500 0.500 0.500 Li

LiCe2GaPt6, relaxed, DFT PBE; space-group type = No. 12; theoretical density = 11.6 g cm⁻³; formation energy = -0.72 eV per atom; spin magnetization = 1.30 Bohr magnetons per cell
1.0
8.381 -0.077 1.836
0.040 5.632 0.013
5.622 2.749 5.857
Pt Li Ce Ga
6 1 2 1
Direct
0.748 0.252 0.987 Pt
0.252 0.237 0.014 Pt
0.748 0.763 0.986 Pt
0.252 0.748 0.013 Pt
0.238 0.252 0.497 Pt
0.762 0.748 0.503 Pt
0.000 0.000 0.000 Li
0.794 0.206 0.587 Ce
0.206 0.794 0.413 Ce
0.500 0.500 0.000 Ga

LiCe2Ga4Pt3, relaxed, DFT PBE; space-group type = No. 115; theoretical density = 9.9 g cm⁻³; formation energy = -0.83 eV per atom; spin magnetization = 1.49 Bohr magnetons per cell
1.0
4.230 0.000 0.000
0.000 4.230 0.000
0.000 0.000 10.739
Pt Ga Ce Li
3 4 2 1
Direct
0.000 0.000 0.500 Pt
0.500 0.000 0.862 Pt
0.000 0.500 0.138 Pt
0.000 0.000 0.000 Ga
0.500 0.500 0.000 Ga
0.500 0.000 0.630 Ga
0.000 0.500 0.370 Ga
0.500 0.000 0.241 Ce
0.000 0.500 0.759 Ce
0.500 0.500 0.500 Li

LiCeGa2Pt5, relaxed, DFT PBE; space-group type = No. 123; theoretical density = 12.9 g cm⁻³; formation energy = -0.75 eV per atom; spin magnetization = 0.23 Bohr magnetons per cell
1.0
-3.553 -1.493 1.419
2.057 -2.424 2.600
-0.253 6.955 6.684
Ga Li Pt Ce
2 1 5 1
Direct
0.500 0.500 0.127 Ga
0.500 0.500 0.873 Ga
0.000 0.000 0.000 Li
0.500 0.500 0.500 Pt
0.000 0.500 0.721 Pt
0.500 0.000 0.279 Pt
0.000 0.500 0.279 Pt
0.500 0.000 0.721 Pt
0.000 0.000 0.500 Ce

LiCeGaPt3, relaxed, DFT PBE; space-group type = No. 63; theoretical density = 12.6 g cm⁻³; formation energy = -0.72 eV per atom; spin magnetization = 0.57 Bohr magnetons per cell
1.0
5.827 0.000 0.000
0.000 5.633 0.000
0.000 -2.816 6.462
Ce Ga Pt Li
2 2 6 2
Direct
0.250 0.671 0.343 Ce
0.750 0.329 0.657 Ce
0.750 0.622 0.243 Ga
0.250 0.378 0.757 Ga
0.000 0.241 0.000 Pt
0.250 0.183 0.366 Pt
0.500 0.241 0.000 Pt
0.500 0.759 0.000 Pt
0.750 0.817 0.634 Pt
0.000 0.759 0.000 Pt
0.250 0.883 0.766 Li
0.750 0.117 0.234 Li

| no. | DOS(E_F) (states/eV/cell) |
| --- | --- |
| 1 | 10.8 |
| 2 | 13.1 |
| 3 | 8.3 |
| 4 | 12.1 |
| 5 | 14.3 |
| 6 | 11.5 |
| 7 | 4.6 |
| 8 | 7.4 |